1.
DFT (GGA-PBE) results for Na2BePdS after structural relaxation.

Geometry as POSCAR:
```
Na2BePdS
1.0
5.063 0.000 0.000
0.000 4.140 0.000
0.000 0.000 5.063
Pd Be S Na
1 1 1 2
direct
0.000 0.500 0.000 Pd
0.000 0.000 0.000 Be
0.500 0.500 0.500 S
0.500 0.000 0.000 Na
0.000 0.000 0.500 Na
```

Properties
Uncorrected formation energy ... 183 meV/atom
Space-group type ... P4/mmm, No. 123
Raw total energy ... -2.954 eV per atom



2.
DFT (GGA-PBE) results for LiSnBiSe3 after structural relaxation.

Geometry as POSCAR:
```
LiSnBiSe3
1.0
-2.153 -2.824 2.106
7.501 -3.172 3.416
-1.970 6.133 6.211
Bi Se Li Sn
2 6 2 2
direct
0.750 0.322 0.842 Bi
0.250 0.678 0.158 Bi
0.250 0.581 0.825 Se
0.250 0.786 0.495 Se
0.250 0.107 0.880 Se
0.750 0.419 0.175 Se
0.750 0.893 0.120 Se
0.750 0.214 0.505 Se
0.250 0.078 0.590 Li
0.750 0.922 0.410 Li
0.250 0.205 0.249 Sn
0.750 0.795 0.751 Sn
```

Properties
Uncorrected formation energy ... -563 meV/atom
Space-group type ... P2_1/m, No. 11
Raw total energy ... -3.938 eV per atom



3.
DFT (GGA-PBE) results for Mg7Cr after structural relaxation.

Geometry as POSCAR:
```
Mg7Cr
1.0
1.383 -6.127 0.087
-4.489 -4.216 1.239
-2.119 -3.763 -4.561
Mg Cr
7 1
direct
0.500 0.000 0.000 Mg
0.500 0.000 0.500 Mg
0.000 0.000 0.500 Mg
0.500 0.500 0.000 Mg
0.000 0.500 0.000 Mg
0.000 0.500 0.500 Mg
0.500 0.500 0.500 Mg
0.000 0.000 0.000 Cr
```

Properties
DFT formation energy ... 1.22 eV/f.u.
Space-group type ... Fm-3m, No. 225
Raw total energy ... -2.446 eV per atom
ΔE to the lowest computed polymorph ... 28.3 meV/atom



4.
DFT (GGA-PBE) results for Dy5SnPb4 after structural relaxation.

Geometry as POSCAR:
```
Dy5SnPb4
1.0
-5.589 2.120 -1.907
-2.559 -3.277 -6.465
-5.974 -3.921 2.830
Pb Dy Sn
4 5 1
direct
0.598 0.601 0.204 Pb
0.199 0.204 0.399 Pb
0.802 0.796 0.601 Pb
0.403 0.399 0.796 Pb
0.706 0.195 0.395 Dy
0.296 0.805 0.605 Dy
0.502 0.000 0.000 Dy
0.100 0.605 0.195 Dy
0.901 0.395 0.805 Dy
0.002 0.000 0.000 Sn
```

Properties
DFT formation energy ... -3.64 eV/f.u.
Space-group type ... I4, No. 79
Raw total energy ... -4.548 eV per atom



5.
DFT (GGA-PBE) results for K2MgW after structural relaxation.

Geometry as POSCAR:
```
K2MgW
1.0
-2.816 -0.187 0.937
1.168 -2.602 -0.839
4.116 -2.013 11.970
W K Mg
1 2 1
direct
0.500 0.500 0.750 W
0.000 0.000 0.985 K
0.000 0.000 0.515 K
0.500 0.500 0.250 Mg
```

Properties
DFT formation energy ... 4.61 eV/f.u.
Space-group type ... Cmmm, No. 65
Raw total energy ... -3.034 eV per atom



6.
DFT (GGA-PBE) results for VSbOs3 after structural relaxation.

Geometry as POSCAR:
```
VSbOs3
1.0
-2.889 -2.986 2.355
-0.981 -2.272 -4.084
3.674 -2.954 0.761
Os V Sb
3 1 1
direct
0.000 0.000 0.500 Os
0.000 0.500 0.000 Os
0.500 0.000 0.000 Os
0.500 0.500 0.500 V
0.000 0.000 0.000 Sb
```

Properties
Uncorrected formation energy ... 2442 meV/atom
Space-group type ... Pm-3m, No. 221
Raw total energy ... -6.944 eV per atom
ΔE to the lowest computed polymorph ... 887.6 meV/atom



7.
DFT (GGA-PBE) results for FePOs2Au after structural relaxation.

Geometry as POSCAR:
```
FePOs2Au
1.0
7.061 0.000 0.089
0.000 2.830 0.000
-6.736 0.000 7.018
Os P Au Fe
4 2 2 2
direct
0.079 0.000 0.527 Os
0.629 0.500 0.276 Os
0.079 0.500 0.027 Os
0.629 0.000 0.776 Os
0.330 0.000 0.008 P
0.330 0.500 0.508 P
0.855 0.000 0.148 Au
0.855 0.500 0.648 Au
0.386 0.500 0.845 Fe
0.386 0.000 0.345 Fe
```

Properties
DFT formation energy ... 0.79 eV/f.u.
Space-group type ... Cm, No. 8
Raw total energy ... -7.764 eV per atom
ΔE to the lowest computed polymorph ... 78.6 meV/atom



8.
DFT (GGA-PBE) results for Hg3IrF6 after structural relaxation.

Geometry as POSCAR:
```
Hg3IrF6
1.0
-1.334 -4.643 0.931
5.854 -0.925 3.779
-5.112 3.152 8.395
F Ir Hg
12 2 6
direct
0.773 0.195 0.919 F
0.224 0.197 0.085 F
0.724 0.303 0.415 F
0.727 0.695 0.419 F
0.227 0.805 0.081 F
0.776 0.803 0.915 F
0.273 0.305 0.581 F
0.282 0.989 0.350 F
0.718 0.011 0.650 F
0.782 0.511 0.150 F
0.218 0.489 0.850 F
0.276 0.697 0.585 F
0.000 0.000 0.000 Ir
0.500 0.500 0.500 Ir
0.000 0.000 0.500 Hg
0.500 0.500 0.000 Hg
0.658 0.998 0.204 Hg
0.158 0.502 0.296 Hg
0.342 0.002 0.796 Hg
0.842 0.498 0.704 Hg
```

Properties
Uncorrected formation energy ... -1159 meV/atom
Space-group type ... P2_1/c, No. 14
Raw total energy ... -3.258 eV per atom



9.
DFT (GGA-PBE) results for SrNiP2 after structural relaxation.

Geometry as POSCAR:
```
SrNiP2
1.0
-3.391 1.093 3.527
-0.322 -4.927 0.870
3.602 3.435 0.599
P Ni Sr
2 1 1
direct
0.090 0.090 0.000 P
0.410 0.410 0.000 P
0.250 0.750 0.500 Ni
0.750 0.250 0.500 Sr
```

Properties
DFT formation energy ... -2.40 eV/f.u.
Space-group type ... Immm, No. 71
Raw total energy ... -5.170 eV per atom



10.
DFT (GGA-PBE) results for TePbIN2 after structural relaxation.

Geometry as POSCAR:
```
TePbIN2
1.0
4.402 0.000 0.000
0.000 4.402 0.000
0.000 0.000 6.259
Te I N Pb
1 1 2 1
direct
0.000 0.000 0.000 Te
0.000 0.000 0.500 I
0.500 0.000 0.000 N
0.000 0.500 0.000 N
0.500 0.500 0.500 Pb
```

Properties
Uncorrected formation energy ... 1368 meV/atom
Space-group type ... P4/mmm, No. 123
Raw total energy ... -3.642 eV per atom
ΔE to the lowest computed polymorph ... 0.0 meV/atom



11.
DFT (GGA-PBE) results for PmPaNi after structural relaxation.

Geometry as POSCAR:
```
PmPaNi
1.0
3.517 0.000 0.000
0.000 3.517 0.000
-1.758 -1.758 5.704
Ni Pa Pm
1 1 1
direct
0.701 0.701 0.402 Ni
0.293 0.293 0.587 Pa
0.005 0.005 0.011 Pm
```

Properties
DFT formation energy ... -0.30 eV/f.u.
Space-group type ... I4mm, No. 107
Raw total energy ... -6.778 eV per atom
ΔE to the lowest computed polymorph ... 0.0 meV/atom



12.
DFT (GGA-PBE) results for KTa2Br after structural relaxation.

Geometry as POSCAR:
```
KTa2Br
1.0
0.000 3.523 3.523
3.523 0.000 3.523
3.523 3.523 0.000
Ta Br K
2 1 1
direct
0.750 0.750 0.750 Ta
0.250 0.250 0.250 Ta
0.500 0.500 0.500 Br
0.000 0.000 0.000 K
```

Properties
Uncorrected formation energy ... 2078 meV/atom
Space-group type ... Fm-3m, No. 225
Raw total energy ... -4.541 eV per atom
ΔE to the lowest computed polymorph ... 1873.1 meV/atom



13.
DFT (GGA-PBE) results for TiFeNiSb after structural relaxation.

Geometry as POSCAR:
```
TiFeNiSb
1.0
-1.826 2.924 -2.608
-4.153 1.075 0.530
-1.043 3.907 1.528
Ni Sb Fe Ti
1 1 1 1
direct
0.250 0.250 0.250 Ni
0.500 0.500 0.500 Sb
0.750 0.750 0.750 Fe
0.000 0.000 0.000 Ti
```

Properties
Uncorrected formation energy ... -251 meV/atom
Space-group type ... F-43m, No. 216
Raw total energy ... -6.817 eV per atom



14.
DFT (GGA-PBE) results for Cs3Dy3YSe8 after structural relaxation.

Geometry as POSCAR:
```
Cs3Dy3YSe8
1.0
8.375 0.000 0.000
-4.187 7.256 -0.032
0.000 -4.808 8.585
Se Cs Dy Y
8 3 3 1
direct
0.727 0.956 0.684 Se
0.771 0.044 0.316 Se
0.728 0.457 0.685 Se
0.771 0.542 0.316 Se
0.229 0.956 0.684 Se
0.273 0.044 0.316 Se
0.272 0.543 0.315 Se
0.229 0.458 0.684 Se
0.500 0.500 0.000 Cs
0.000 0.500 0.000 Cs
0.000 0.000 0.000 Cs
0.000 0.500 0.500 Dy
0.500 0.500 0.500 Dy
0.500 0.000 0.500 Dy
0.000 0.000 0.500 Y
```

Properties
Uncorrected formation energy ... -1673 meV/atom
Space-group type ... C2/m, No. 12
Raw total energy ... -5.053 eV per atom



15.
DFT (GGA-PBE) results for Rb4Sr3OsO8 after structural relaxation.

Geometry as POSCAR:
```
Rb4Sr3OsO8
1.0
-4.101 -0.363 5.969
-5.313 -4.019 -3.895
6.791 -2.540 0.107
O Rb Sr Os
8 4 3 1
direct
0.731 0.694 0.463 O
0.190 0.672 0.983 O
0.269 0.306 0.537 O
0.810 0.328 0.620 O
0.190 0.672 0.380 O
0.810 0.328 0.017 O
0.207 0.328 0.017 O
0.793 0.672 0.983 O
0.500 0.000 0.500 Rb
0.500 0.000 0.000 Rb
0.000 0.000 0.000 Rb
0.000 0.000 0.500 Rb
0.500 0.500 0.500 Sr
0.000 0.500 0.500 Sr
0.500 0.500 0.000 Sr
0.000 0.500 0.000 Os
```

Properties
Uncorrected formation energy ... -1740 meV/atom
Space-group type ... R-3m, No. 166
Raw total energy ... -5.478 eV per atom



16.
DFT (GGA-PBE) results for Ba5SrCa4 after structural relaxation.

Geometry as POSCAR:
```
Ba5SrCa4
1.0
4.729 0.000 0.000
0.000 4.729 0.000
0.000 0.000 24.080
Ca Sr Ba
4 1 5
direct
0.000 0.000 0.207 Ca
0.000 0.000 0.793 Ca
0.000 0.000 0.402 Ca
0.000 0.000 0.598 Ca
0.000 0.000 0.000 Sr
0.500 0.500 0.304 Ba
0.500 0.500 0.891 Ba
0.500 0.500 0.500 Ba
0.500 0.500 0.696 Ba
0.500 0.500 0.109 Ba
```

Properties
DFT formation energy ... 0.29 eV/f.u.
Space-group type ... P4/mmm, No. 123
Raw total energy ... -1.902 eV per atom



17.
DFT (GGA-PBE) results for Pm3ScPd12 after structural relaxation.

Geometry as POSCAR:
```
Pm3ScPd12
1.0
4.145 0.000 0.000
0.000 4.145 0.000
0.000 0.000 16.553
Pd Pm Sc
12 3 1
direct
0.500 0.500 0.244 Pd
0.000 0.500 0.628 Pd
0.000 0.500 0.372 Pd
0.000 0.500 0.885 Pd
0.000 0.500 0.115 Pd
0.500 0.500 0.000 Pd
0.500 0.000 0.115 Pd
0.500 0.500 0.500 Pd
0.500 0.000 0.628 Pd
0.500 0.500 0.756 Pd
0.500 0.000 0.372 Pd
0.500 0.000 0.885 Pd
0.000 0.000 0.756 Pm
0.000 0.000 0.244 Pm
0.000 0.000 0.500 Pm
0.000 0.000 0.000 Sc
```

Properties
DFT formation energy ... -12.79 eV/f.u.
Space-group type ... P4/mmm, No. 123
Raw total energy ... -5.980 eV per atom



18.
DFT (GGA-PBE) results for BaMn2Cl after structural relaxation.

Geometry as POSCAR:
```
BaMn2Cl
1.0
4.200 0.000 0.000
0.000 4.200 0.000
2.100 2.100 12.489
Ba Cl Mn
2 2 4
direct
0.000 0.000 0.000 Ba
0.750 0.250 0.500 Ba
0.500 0.500 0.000 Cl
0.250 0.750 0.500 Cl
0.375 0.874 0.750 Mn
0.126 0.125 0.250 Mn
0.624 0.625 0.250 Mn
0.875 0.376 0.750 Mn
```

Properties
Uncorrected formation energy ... 77 meV/atom
Space-group type ... I-42d, No. 122
Raw total energy ... -5.450 eV per atom
ΔE to the lowest computed polymorph ... 68.6 meV/atom



19.
DFT (GGA-PBE) results for Zr2NbHg after structural relaxation.

Geometry as POSCAR:
```
Zr2NbHg
1.0
-1.866 2.288 -2.534
1.500 -2.638 -3.487
-3.769 -2.649 0.384
Zr Hg Nb
2 1 1
direct
0.000 0.000 0.500 Zr
0.000 0.500 0.000 Zr
0.500 0.500 0.500 Hg
0.500 0.000 0.000 Nb
```

Properties
DFT formation energy ... -0.16 eV/f.u.
Space-group type ... P4/mmm, No. 123
Raw total energy ... -6.906 eV per atom



20.
DFT (GGA-PBE) results for Pm3Ag7Ge4 after structural relaxation.

Geometry as POSCAR:
```
Pm3Ag7Ge4
1.0
4.308 0.000 1.087
1.588 7.842 2.788
0.115 0.099 8.627
Ag Ge Pm
7 4 3
direct
0.510 0.792 0.188 Ag
0.490 0.208 0.812 Ag
0.155 0.612 0.079 Ag
0.845 0.388 0.921 Ag
0.000 0.000 0.000 Ag
0.671 0.173 0.484 Ag
0.329 0.827 0.516 Ag
0.658 0.453 0.231 Ge
0.342 0.547 0.769 Ge
0.878 0.908 0.336 Ge
0.122 0.092 0.664 Ge
0.000 0.500 0.500 Pm
0.302 0.192 0.204 Pm
0.698 0.808 0.796 Pm
```

Properties
DFT formation energy ... -5.33 eV/f.u.
Space-group type ... C2/m, No. 12
Raw total energy ... -4.143 eV per atom



21.
DFT (GGA-PBE) results for KCuSe2 after structural relaxation.

Geometry as POSCAR:
```
KCuSe2
1.0
-2.896 4.642 2.670
-5.865 -0.859 1.389
5.713 -1.918 0.870
Cu K Se
1 1 2
direct
0.569 0.569 0.000 Cu
0.256 0.756 0.500 K
0.724 0.224 0.500 Se
0.951 0.951 0.000 Se
```

Properties
Uncorrected formation energy ... -96 meV/atom
Space-group type ... Imm2, No. 44
Raw total energy ... -3.137 eV per atom



22.
DFT (GGA-PBE) results for Ta2OsPbCl after structural relaxation.

Geometry as POSCAR:
```
Ta2OsPbCl
1.0
-4.676 0.235 2.442
-1.655 -3.811 -2.801
1.726 -3.420 3.634
Ta Pb Os Cl
2 1 1 1
direct
0.000 0.000 0.500 Ta
0.500 0.000 0.000 Ta
0.000 0.000 0.000 Pb
0.500 0.500 0.500 Os
0.000 0.500 0.000 Cl
```

Properties
Uncorrected formation energy ... 2774 meV/atom
Space-group type ... P4/mmm, No. 123
Raw total energy ... -5.324 eV per atom



23.
DFT (GGA-PBE) results for EuPtS2 after structural relaxation.

Geometry as POSCAR:
```
EuPtS2
1.0
-2.713 -1.865 1.755
0.849 -2.867 2.231
-0.038 3.477 7.601
Pt Eu S
1 1 2
direct
0.500 0.500 0.500 Pt
0.000 0.000 0.000 Eu
0.882 0.882 0.353 S
0.118 0.118 0.647 S
```

Properties
Uncorrected formation energy ... -417 meV/atom
Space-group type ... R-3m, No. 166
Raw total energy ... -6.559 eV per atom



24.
DFT (GGA-PBE) results for Zr2CrCl after structural relaxation.

Geometry as POSCAR:
```
Zr2CrCl
1.0
-2.294 -4.042 6.203
0.179 -6.911 3.505
2.906 6.194 -3.641
Zr Cl Cr
2 1 1
direct
0.930 0.930 0.000 Zr
0.717 0.217 0.500 Zr
0.551 0.551 0.000 Cl
0.302 0.802 0.500 Cr
```

Properties
Uncorrected formation energy ... -114 meV/atom
Space-group type ... Imm2, No. 44
Raw total energy ... -7.256 eV per atom
ΔE to the lowest computed polymorph ... 287.2 meV/atom